Entry 1:
The following is a PBE calculation of a relaxed structure of NdDy2Y12, from Alexandria via LeMat-Bulk.

Geometry as CIF:
```
data_NdDy2Y12
_chemical_formula_sum 'Nd2 Dy4 Y24'
_symmetry_space_group_name_H-M 'P 1'
_symmetry_Int_Tables_number 1
_symmetry_space_group_name_Hall 'P 1'
_cell_length_a 6.444
_cell_length_b 6.444
_cell_length_c 25.263
_cell_angle_alpha 90.00
_cell_angle_beta 90.00
_cell_angle_gamma 90.00
loop_
_atom_site_label
_atom_site_fract_x
_atom_site_fract_y
_atom_site_fract_z
Nd1 0.250 0.750 0.000
Nd2 0.750 0.250 0.000
Dy1 0.250 0.750 0.276
Dy2 0.250 0.750 0.724
Dy3 0.750 0.250 0.276
Dy4 0.750 0.250 0.724
Y1 0.068 0.568 0.117
Y2 0.068 0.932 0.883
Y3 0.081 0.581 0.439
Y4 0.081 0.919 0.561
Y5 0.250 0.250 0.217
Y6 0.250 0.250 0.340
Y7 0.250 0.250 0.660
Y8 0.250 0.250 0.783
Y9 0.419 0.581 0.561
Y10 0.419 0.919 0.439
Y11 0.432 0.568 0.883
Y12 0.432 0.932 0.117
Y13 0.568 0.068 0.883
Y14 0.568 0.432 0.117
Y15 0.581 0.081 0.561
Y16 0.581 0.419 0.439
Y17 0.750 0.750 0.217
Y18 0.750 0.750 0.340
Y19 0.750 0.750 0.660
Y20 0.750 0.750 0.783
Y21 0.919 0.081 0.439
Y22 0.919 0.419 0.561
Y23 0.932 0.068 0.117
Y24 0.932 0.432 0.883
```

Results
calculated formation energy = 0.33 eV/atom
SG = No. 125

Entry 2:
The following is a PBE calculation of a relaxed structure of Ho2SI, from Alexandria via LeMat-Bulk.

Geometry as CIF:
```
data_Ho2SI
_chemical_formula_sum 'Ho2 S1 I1'
_symmetry_space_group_name_H-M 'P 1'
_symmetry_Int_Tables_number 1
_symmetry_space_group_name_Hall 'P 1'
_cell_length_a 8.035
_cell_length_b 8.035
_cell_length_c 8.035
_cell_angle_alpha 27.84
_cell_angle_beta 27.84
_cell_angle_gamma 27.84
loop_
_atom_site_label
_atom_site_fract_x
_atom_site_fract_y
_atom_site_fract_z
Ho1 0.000 0.000 0.000
Ho2 0.203 0.203 0.203
S1 0.602 0.602 0.602
I1 0.770 0.770 0.770
```

Results
uncorrected formation energy = -1.304 eV per atom
energy relative to the lowest polymorph listed for this composition = 0.000 eV per atom
SG = No. 160

Entry 3:
The following is a PBE calculation of a relaxed structure of BaGe3Au, from Alexandria via LeMat-Bulk.

Geometry as CIF:
```
data_BaGe3Au
_chemical_formula_sum 'Ba2 Ge6 Au2'
_symmetry_space_group_name_H-M 'P 1'
_symmetry_Int_Tables_number 1
_symmetry_space_group_name_Hall 'P 1'
_cell_length_a 8.554
_cell_length_b 8.554
_cell_length_c 6.866
_cell_angle_alpha 90.00
_cell_angle_beta 90.00
_cell_angle_gamma 146.59
loop_
_atom_site_label
_atom_site_fract_x
_atom_site_fract_y
_atom_site_fract_z
Ba1 0.092 0.908 0.750
Ba2 0.908 0.092 0.250
Ge1 0.112 0.888 0.250
Ge2 0.249 0.751 0.061
Ge3 0.249 0.751 0.439
Ge4 0.751 0.249 0.561
Ge5 0.751 0.249 0.939
Ge6 0.888 0.112 0.750
Au1 0.424 0.576 0.750
Au2 0.576 0.424 0.250
```

Results
calculated formation energy = -0.28 eV/atom
SG = No. 63

Entry 4:
The following is a PBE calculation of a relaxed structure of MgGaSnSb, from Alexandria via LeMat-Bulk.

Geometry as CIF:
```
data_MgGaSnSb
_chemical_formula_sum 'Mg1 Ga1 Sn1 Sb1'
_symmetry_space_group_name_H-M 'P 1'
_symmetry_Int_Tables_number 1
_symmetry_space_group_name_Hall 'P 1'
_cell_length_a 5.145
_cell_length_b 5.145
_cell_length_c 5.145
_cell_angle_alpha 60.00
_cell_angle_beta 60.00
_cell_angle_gamma 60.00
loop_
_atom_site_label
_atom_site_fract_x
_atom_site_fract_y
_atom_site_fract_z
Mg1 0.000 0.000 0.000
Ga1 0.500 0.500 0.500
Sn1 0.250 0.250 0.250
Sb1 0.750 0.750 0.750
```

Results
uncorrected formation energy = 0.013 eV per atom
SG = No. 216

Entry 5:
The following is a PBE calculation of a relaxed structure of Tl2AgSn, from Alexandria via LeMat-Bulk.

Geometry as CIF:
```
data_Tl2AgSn
_chemical_formula_sum 'Tl2 Ag1 Sn1'
_symmetry_space_group_name_H-M 'P 1'
_symmetry_Int_Tables_number 1
_symmetry_space_group_name_Hall 'P 1'
_cell_length_a 5.316
_cell_length_b 5.316
_cell_length_c 5.316
_cell_angle_alpha 60.00
_cell_angle_beta 60.00
_cell_angle_gamma 60.00
loop_
_atom_site_label
_atom_site_fract_x
_atom_site_fract_y
_atom_site_fract_z
Tl1 0.250 0.250 0.250
Tl2 0.750 0.750 0.750
Ag1 0.000 0.000 0.000
Sn1 0.500 0.500 0.500
```

Results
calculated formation energy = 0.15 eV/atom
energy relative to the lowest polymorph listed for this composition = 0.031 eV per atom
SG = No. 225

Entry 6:
The following is a PBE calculation of a relaxed structure of Te2OsC, from Alexandria via LeMat-Bulk.

Geometry as CIF:
```
data_Te2OsC
_chemical_formula_sum 'Te4 Os2 C2'
_symmetry_space_group_name_H-M 'P 1'
_symmetry_Int_Tables_number 1
_symmetry_space_group_name_Hall 'P 1'
_cell_length_a 6.626
_cell_length_b 6.626
_cell_length_c 6.626
_cell_angle_alpha 128.58
_cell_angle_beta 128.58
_cell_angle_gamma 75.69
loop_
_atom_site_label
_atom_site_fract_x
_atom_site_fract_y
_atom_site_fract_z
Te1 0.093 0.625 0.968
Te2 0.375 0.343 0.468
Te3 0.657 0.125 0.032
Te4 0.875 0.907 0.532
Os1 0.250 0.750 0.500
Os2 0.500 0.500 0.000
C1 0.000 0.000 0.000
C2 0.750 0.250 0.500
```

Results
uncorrected formation energy = 1.254 eV per atom
SG = No. 122

Entry 7:
The following is a PBE calculation of a relaxed structure of TbSmErTh2, from Alexandria via LeMat-Bulk.

Geometry as CIF:
```
data_TbSmErTh2
_chemical_formula_sum 'Tb2 Sm2 Er2 Th4'
_symmetry_space_group_name_H-M 'P 1'
_symmetry_Int_Tables_number 1
_symmetry_space_group_name_Hall 'P 1'
_cell_length_a 8.494
_cell_length_b 8.494
_cell_length_c 6.666
_cell_angle_alpha 90.00
_cell_angle_beta 90.00
_cell_angle_gamma 133.82
loop_
_atom_site_label
_atom_site_fract_x
_atom_site_fract_y
_atom_site_fract_z
Tb1 0.247 0.753 0.750
Tb2 0.753 0.247 0.250
Sm1 0.348 0.652 0.250
Sm2 0.652 0.348 0.750
Er1 0.151 0.849 0.250
Er2 0.849 0.151 0.750
Th1 0.248 0.248 0.000
Th2 0.248 0.248 0.500
Th3 0.752 0.752 0.000
Th4 0.752 0.752 0.500
```

Results
calculated formation energy = 0.41 eV/atom
SG = No. 63

Entry 8:
The following is a PBE calculation of a relaxed structure of SrGeBiO2, from Alexandria via LeMat-Bulk.

Geometry as CIF:
```
data_SrGeBiO2
_chemical_formula_sum 'Sr1 Ge1 Bi1 O2'
_symmetry_space_group_name_H-M 'P 1'
_symmetry_Int_Tables_number 1
_symmetry_space_group_name_Hall 'P 1'
_cell_length_a 4.461
_cell_length_b 4.461
_cell_length_c 6.773
_cell_angle_alpha 90.00
_cell_angle_beta 90.00
_cell_angle_gamma 90.00
loop_
_atom_site_label
_atom_site_fract_x
_atom_site_fract_y
_atom_site_fract_z
Sr1 0.000 0.000 0.000
Ge1 0.500 0.500 0.000
Bi1 0.000 0.000 0.500
O1 0.000 0.500 0.500
O2 0.500 0.000 0.500
```

Results
uncorrected formation energy = -0.038 eV per atom
SG = No. 123

Entry 9:
The following is a PBE calculation of a relaxed structure of YOs3Br, from Alexandria via LeMat-Bulk.

Geometry as CIF:
```
data_YOs3Br
_chemical_formula_sum 'Y1 Os3 Br1'
_symmetry_space_group_name_H-M 'P 1'
_symmetry_Int_Tables_number 1
_symmetry_space_group_name_Hall 'P 1'
_cell_length_a 4.620
_cell_length_b 4.620
_cell_length_c 4.620
_cell_angle_alpha 90.00
_cell_angle_beta 90.00
_cell_angle_gamma 90.00
loop_
_atom_site_label
_atom_site_fract_x
_atom_site_fract_y
_atom_site_fract_z
Y1 0.000 0.000 0.000
Os1 0.000 0.500 0.500
Os2 0.500 0.000 0.500
Os3 0.500 0.500 0.000
Br1 0.500 0.500 0.500
```

Results
uncorrected formation energy = 1.579 eV per atom
energy relative to the lowest polymorph listed for this composition = 0.000 eV per atom
SG = No. 221

Entry 10:
The following is a PBE calculation of a relaxed structure of Tl2ZnCdBr, from Alexandria via LeMat-Bulk.

Geometry as CIF:
```
data_Tl2ZnCdBr
_chemical_formula_sum 'Tl2 Zn1 Cd1 Br1'
_symmetry_space_group_name_H-M 'P 1'
_symmetry_Int_Tables_number 1
_symmetry_space_group_name_Hall 'P 1'
_cell_length_a 5.449
_cell_length_b 5.449
_cell_length_c 5.559
_cell_angle_alpha 90.00
_cell_angle_beta 90.00
_cell_angle_gamma 90.00
loop_
_atom_site_label
_atom_site_fract_x
_atom_site_fract_y
_atom_site_fract_z
Tl1 0.000 0.500 0.000
Tl2 0.500 0.000 0.000
Zn1 0.000 0.000 0.000
Cd1 0.500 0.500 0.500
Br1 0.000 0.000 0.500
```

Results
uncorrected formation energy = 0.008 eV per atom
energy relative to the lowest polymorph listed for this composition = 0.000 eV per atom
SG = No. 123

Entry 11:
The following is a PBE calculation of a relaxed structure of SrLiBPt2, from Alexandria via LeMat-Bulk.

Geometry as CIF:
```
data_SrLiBPt2
_chemical_formula_sum 'Sr1 Li1 B1 Pt2'
_symmetry_space_group_name_H-M 'P 1'
_symmetry_Int_Tables_number 1
_symmetry_space_group_name_Hall 'P 1'
_cell_length_a 4.334
_cell_length_b 4.334
_cell_length_c 4.560
_cell_angle_alpha 90.00
_cell_angle_beta 90.00
_cell_angle_gamma 90.00
loop_
_atom_site_label
_atom_site_fract_x
_atom_site_fract_y
_atom_site_fract_z
Sr1 0.000 0.000 0.000
Li1 0.500 0.500 0.000
B1 0.500 0.500 0.500
Pt1 0.000 0.500 0.500
Pt2 0.500 0.000 0.500
```

Results
calculated formation energy = -0.50 eV/atom
SG = No. 123

Entry 12:
The following is a PBE calculation of a relaxed structure of TcHIrRh2, from Alexandria via LeMat-Bulk.

Geometry as CIF:
```
data_TcHIrRh2
_chemical_formula_sum 'Tc1 H1 Ir1 Rh2'
_symmetry_space_group_name_H-M 'P 1'
_symmetry_Int_Tables_number 1
_symmetry_space_group_name_Hall 'P 1'
_cell_length_a 3.877
_cell_length_b 3.877
_cell_length_c 3.962
_cell_angle_alpha 90.00
_cell_angle_beta 90.00
_cell_angle_gamma 90.00
loop_
_atom_site_label
_atom_site_fract_x
_atom_site_fract_y
_atom_site_fract_z
Tc1 0.000 0.000 0.000
H1 0.000 0.000 0.500
Ir1 0.500 0.500 0.000
Rh1 0.000 0.500 0.500
Rh2 0.500 0.000 0.500
```

Results
energy relative to the lowest polymorph listed for this composition = 0.000 eV per atom
SG = No. 123